# Sc2BeAlN (PBE, optimized geometry)
# - Calculated volume: 14.5 A^3/atom
# - Calculated density: 3.2 g/cm³
# - M_tot: 0.000 μB per formula unit
# - Energy relative to the elements, uncorrected: -0.785 eV/atom
data_Sc2BeAlN
_chemical_formula_sum 'Sc2 Be1 Al1 N1'
_cell_length_a 4.6016
_cell_length_b 4.6016
_cell_length_c 3.4123
_cell_angle_alpha 90.00
_cell_angle_beta 90.00
_cell_angle_gamma 90.00
_symmetry_space_group_name_H-M 'P 4/m m m'
_symmetry_Int_Tables_number 123
_symmetry_space_group_name_Hall '-P 4 2'
loop_
_atom_site_label
_atom_site_fract_x
_atom_site_fract_y
_atom_site_fract_z
Sc1 0.0000 0.5000 0.0000
Be1 0.0000 0.0000 0.5000
Al1 0.5000 0.5000 0.5000
N1 0.0000 0.0000 0.0000